(1)
Density functional theory data (PBE) for an optimized crystal structure of NaErSn4. Values from VASP.

Computed properties:
Formation energy, eV per atom: -0.185
Space group: No. 216

The structure in Quantum ESPRESSO input format:
```
&SYSTEM
  ibrav = 0, nat = 6, ntyp = 3
/
ATOMIC_SPECIES
Na 22.99 Na.upf
Er 167.26 Er.upf
Sn 118.71 Sn.upf
CELL_PARAMETERS angstrom
-3.262 4.983 -1.695
-5.547 1.078 2.533
-0.736 4.710 3.952
ATOMIC_POSITIONS crystal
Na 0.250 0.250 0.250
Er 0.000 0.000 0.000
Sn 0.625 0.124 0.625
Sn 0.124 0.625 0.625
Sn 0.625 0.625 0.124
Sn 0.625 0.625 0.625
```

***

(2)
Density functional theory data (PBE) for an optimized crystal structure of NaErSn. Values from VASP.

Computed properties:
Formation energy, eV per atom: -0.267
ΔE to the lowest computed polymorph, meV per atom: 0
Space group: No. 216

The structure in Quantum ESPRESSO input format:
```
&SYSTEM
  ibrav = 0, nat = 3, ntyp = 3
/
ATOMIC_SPECIES
Sn 118.71 Sn.upf
Na 22.99 Na.upf
Er 167.26 Er.upf
CELL_PARAMETERS angstrom
-3.532 -1.057 -3.548
-4.015 -2.942 1.184
-4.670 2.062 0.345
ATOMIC_POSITIONS crystal
Sn 0.250 0.250 0.250
Na 0.500 0.500 0.500
Er 0.000 0.000 0.000
```

***

> What is the formula in the first record?

NaErSn4

***

Please write out number 2 again, unchanged.
Density functional theory data (PBE) for an optimized crystal structure of NaErSn. Values from VASP.

Computed properties:
Formation energy, eV per atom: -0.267
ΔE to the lowest computed polymorph, meV per atom: 0
Space group: No. 216

The structure in Quantum ESPRESSO input format:
```
&SYSTEM
  ibrav = 0, nat = 3, ntyp = 3
/
ATOMIC_SPECIES
Sn 118.71 Sn.upf
Na 22.99 Na.upf
Er 167.26 Er.upf
CELL_PARAMETERS angstrom
-3.532 -1.057 -3.548
-4.015 -2.942 1.184
-4.670 2.062 0.345
ATOMIC_POSITIONS crystal
Sn 0.250 0.250 0.250
Na 0.500 0.500 0.500
Er 0.000 0.000 0.000
```

***

> Number 2 is which compound?

NaErSn

***

> Number 1 is which compound?

NaErSn4